# 1
Material: Er2Al3Ge
Method: DFT, PBE
State: optimized geometry

The calculation puts the total magnetic moment at 0.000 μB per atom. Its formation energy is -11.44 kcal/mol of atoms.

The structure belongs to space group Pmm2 (No. 25); the cell edges are 3.820, 4.341 and 7.504 Å and the angles 90.00°, 90.00° and 90.00°. The distinct sites, in fractional coordinates, are Er at (0.000, 0.000, 0.000), Er at (0.000, 0.500, 0.485), Al at (0.500, 0.000, 0.657), Al at (0.500, 0.500, 0.159), Al at (0.500, 0.500, 0.824) and Ge at (0.500, 0.000, 0.327).

# 2
Material: ErAlGe2
Method: DFT, PBE
State: optimized geometry

The calculation puts the total magnetic moment at 0.000 μB per atom. Its formation energy is -10.26 kcal/mol of atoms.

The structure belongs to space group I4/mmm (No. 139); the cell edges are 4.063, 4.063 and 19.031 Å and the angles 90.00°, 90.00° and 90.00°. The distinct sites, in fractional coordinates, are Er at (0.000, 0.000, 0.114), Al at (0.000, 0.500, 0.250), Ge at (0.000, 0.000, 0.344) and Ge at (0.000, 0.500, 0.000).

# 3
Material: ErAlGeIr2
Method: DFT, PBE
State: optimized geometry

The calculation puts the total magnetic moment at 0.000 μB per atom. Its formation energy is -14.47 kcal/mol of atoms.

The structure belongs to space group Cmcm (No. 63); the cell edges are 4.233, 13.178 and 6.891 Å and the angles 90.00°, 90.00° and 90.00°. The distinct sites, in fractional coordinates, are Er at (0.000, 0.125, 0.250), Al at (0.000, 0.193, 0.750), Ge at (0.000, 0.500, 0.000) and Ir at (0.000, 0.323, 0.036).

# 4
Material: LaErAl2Ge
Method: DFT, PBE
State: optimized geometry

The calculation puts the total magnetic moment at 0.000 μB per atom. Its formation energy is -12.20 kcal/mol of atoms.

The structure belongs to space group Imm2 (No. 44); the cell edges are 4.383, 4.479 and 12.298 Å and the angles 90.00°, 90.00° and 90.00°. The distinct sites, in fractional coordinates, are La at (0.000, 0.000, 0.000), Er at (0.000, 0.500, 0.756), Al at (0.000, 0.000, 0.606), Al at (0.000, 0.500, 0.241) and Ge at (0.000, 0.000, 0.401).

# 5
Material: ErMg2AlGe2
Method: DFT, PBE
State: optimized geometry

The calculation puts the total magnetic moment at 0.000 μB per atom. Its formation energy is -8.62 kcal/mol of atoms.

The structure belongs to space group Pmc2_1 (No. 26); the cell edges are 4.125, 8.535 and 6.927 Å and the angles 90.00°, 90.00° and 90.00°. The distinct sites, in fractional coordinates, are Er at (0.000, 0.082, 0.000), Mg at (0.000, 0.316, 0.399), Mg at (0.500, 0.424, 0.076), Al at (0.500, 0.188, 0.683), Ge at (0.000, 0.374, 0.786) and Ge at (0.500, 0.115, 0.304).

# 6
Material: Er3AlNi9Ge2
Method: DFT, PBE
State: optimized geometry

The calculation puts the total magnetic moment at 0.000 μB per atom. Its formation energy is -4.97 kcal/mol of atoms.

The structure belongs to space group P-3m1 (No. 164); the cell edges are 5.9181, 5.9181 and 8.5941 Å and the angles 90.00°, 90.00° and 120.00°. The distinct sites, in fractional coordinates, are Er at (0.0000, 0.0000, 0.0000), Er at (0.3333, 0.6667, 0.7108), Al at (0.0000, 0.0000, 0.5000), Ni at (0.0000, 0.5000, 0.0000), Ni at (0.1331, 0.2662, 0.2767) and Ge at (0.3333, 0.6667, 0.1840).